Below is an optimized crystal structure of HoCu4Pd, with properties calculated at the PBE-GGA level.

- energy of formation (meV/atom) = -369
- raw total energy (eV per atom) = -4.4721

a b c (Å): 7.0442 7.0442 7.0442
angles (deg): 90.00 90.00 90.00
With the nearest neighbours (Å) after each atom.
Space group F-43m (No. 216)
Unique sites:
1 Ho 0.0000 0.0000 0.0000  12 Cu 2.92, 4 Pd 3.05
2 Cu 0.1241 0.1241 0.6241  6 Cu 2.47-2.51
3 Pd 0.2500 0.2500 0.2500  12 Cu 2.92, 4 Ho 3.05


Below is an optimized crystal structure of Ho2CuPd, with properties calculated at the PBE-GGA level.

- energy of formation (meV/atom) = -609
- raw total energy (eV per atom) = -5.1201

a b c (Å): 5.5033 4.5109 6.9781
angles (deg): 90.00 90.03 90.00
With the nearest neighbours (Å) after each atom.
Space group P2_1/m (No. 11)
Unique sites:
1 Ho 0.1389 0.2500 0.3166  4 Cu 2.89-3.01, 3 Pd 2.95-3.00
2 Ho 0.3558 0.2500 0.8175  4 Pd 2.85-2.98, 3 Cu 2.86-3.01
3 Cu 0.3731 0.7500 0.5312  2 Cu 2.69, 4 Ho 2.86-3.00
4 Pd 0.1562 0.7500 0.0448  7 Ho 2.85-3.00, 2 Pd 2.90


Below is an optimized crystal structure of Ho2CuPd, with properties calculated at the PBE-GGA level.

- energy of formation (meV/atom) = -620
- raw total energy (eV per atom) = -5.1314

a b c (Å): 5.4935 4.5400 7.3827
angles (deg): 90.00 109.60 90.00
With the nearest neighbours (Å) after each atom.
Space group P2_1/m (No. 11)
Unique sites:
1 Ho 0.2214 0.2500 0.4301  4 Cu 2.90-2.98, 3 Pd 2.91-2.98
2 Ho 0.2223 0.2500 0.9313  4 Pd 2.92-3.00, 3 Cu 2.92-3.00
3 Cu 0.3430 0.7500 0.7085  2 Pd 2.80, 7 Ho 2.90-3.00
4 Pd 0.3414 0.7500 0.2127  2 Cu 2.80, 7 Ho 2.91-3.00


Below is an optimized crystal structure of Ho2TlCuPd, with properties calculated at the PBE-GGA level.

- raw total energy (eV per atom) = -4.6451

a b c (Å): 3.6594 4.1485 14.6088
angles (deg): 90.00 90.00 90.00
With the nearest neighbours (Å) after each atom.
Space group Amm2 (No. 38)
Unique sites:
1 Ho 0.0000 0.0000 0.0000  4 Cu 2.90, 2 Pd 3.03
2 Ho 0.0000 0.0000 0.2692  4 Pd 2.93, 2 Cu 3.09
3 Tl 0.5000 0.0000 0.6334  1 Cu 2.83, 1 Pd 2.94
4 Cu 0.5000 0.0000 0.4398  2 Pd 2.58, 1 Tl 2.83
5 Pd 0.5000 0.0000 0.8344  2 Cu 2.58